W2Se (PBE-GGA, optimized geometry); space group = No. 8; formation energy from raw total energies = 0.40 eV/atom; M_tot = 0.0 μB per formula unit; DFT total energy = -56.38 eV per cell; crystal system = monoclinic; energy above the lowest structure with this stoichiometry = 344 meV per atom
1.0
1.541 5.491 0.003
-1.541 5.491 0.003
0.000 1.306 5.806
W Se
4 2
direct
0.326 0.326 0.310
0.397 0.397 0.783
0.046 0.046 0.413
0.703 0.703 0.033
0.999 0.999 0.025
0.695 0.695 0.603

=====

Nd4Sn2N (PBE-GGA, optimized geometry); space group = No. 139; formation energy from raw total energies = -0.87 eV/atom; M_tot = 0.0 μB per formula unit; DFT total energy = -41.51 eV per cell; crystal system = tetragonal; energy above the lowest structure with this stoichiometry = 0 meV per atom
1.0
-3.583 2.822 -1.819
-2.898 -3.942 -0.407
-6.101 0.751 6.553
Nd Sn N
4 2 1
direct
0.838 0.838 0.323
0.162 0.162 0.677
0.000 0.500 0.000
0.500 0.000 0.000
0.641 0.641 0.718
0.359 0.359 0.282
0.000 0.000 0.000

=====

BaSrPdBr (PBE-GGA, optimized geometry); space group = No. 216; formation energy from raw total energies = -0.88 eV/atom; M_tot = 0.0 μB per formula unit; DFT total energy = -14.00 eV per cell; crystal system = cubic
1.0
5.628 0.000 0.000
2.814 4.874 0.000
2.814 1.625 4.595
Sr Br Ba Pd
1 1 1 1
direct
0.000 0.000 0.000
0.750 0.750 0.750
0.500 0.500 0.500
0.250 0.250 0.250

=====

ThPdPtAu (PBE-GGA, optimized geometry); space group = No. 38; M_tot = 0.0 μB per formula unit; DFT total energy = -25.06 eV per cell; crystal system = orthorhombic; energy above the lowest structure with this stoichiometry = 11 meV per atom
1.0
3.991 0.000 0.000
0.000 4.114 0.000
-1.996 0.000 5.116
Th Pd Pt Au
1 1 1 1
direct
0.887 0.500 0.775
0.623 0.500 0.246
0.449 0.000 0.899
0.172 0.000 0.345

=====

LiTaNi (PBE-GGA, optimized geometry); space group = No. 42; M_tot = 0.0 μB per formula unit; DFT total energy = -19.08 eV per cell; crystal system = orthorhombic; energy above the lowest structure with this stoichiometry = 22 meV per atom
1.0
-2.993 4.652 -3.632
-1.561 3.213 -5.431
-2.510 -0.956 -0.381
Li Ni Ta
1 1 1
direct
0.982 0.982 0.018
0.333 0.333 0.667
0.684 0.684 0.316

=====

Rb3As5S12 (PBE-GGA, optimized geometry); space group = No. 230; formation energy from raw total energies = -0.21 eV/atom; M_tot = 0.0 μB per formula unit; DFT total energy = -319.43 eV per cell; crystal system = cubic
1.0
13.915 0.000 0.000
-4.638 13.119 0.000
-4.638 -6.560 11.362
Rb As S
12 20 48
direct
0.750 0.375 0.125
0.875 0.750 0.125
0.375 0.750 0.625
0.250 0.125 0.375
0.875 0.125 0.250
0.375 0.625 0.250
0.625 0.375 0.750
0.125 0.875 0.750
0.750 0.875 0.625
0.625 0.250 0.375
0.125 0.250 0.875
0.250 0.625 0.875
0.125 0.375 0.250
0.000 0.500 0.000
0.000 0.000 0.000
0.375 0.250 0.125
0.500 0.000 0.500
0.500 0.500 0.000
0.125 0.750 0.375
0.750 0.125 0.875
0.750 0.625 0.375
0.375 0.125 0.750
0.625 0.875 0.250
0.500 0.500 0.500
0.500 0.000 0.000
0.000 0.000 0.500
0.250 0.375 0.625
0.250 0.875 0.125
0.000 0.500 0.500
0.875 0.250 0.625
0.625 0.750 0.875
0.875 0.625 0.750
0.701 0.108 0.009
0.308 0.509 0.401
0.991 0.392 0.299
0.509 0.201 0.108
0.593 0.701 0.692
0.991 0.599 0.192
0.308 0.799 0.407
0.099 0.907 0.108
0.599 0.991 0.692
0.701 0.593 0.192
0.799 0.491 0.392
0.808 0.901 0.009
0.108 0.701 0.509
0.392 0.401 0.093
0.093 0.901 0.392
0.407 0.108 0.599
0.093 0.192 0.201
0.491 0.692 0.099
0.808 0.907 0.299
0.108 0.407 0.099
0.392 0.991 0.799
0.599 0.608 0.407
0.901 0.808 0.509
0.799 0.308 0.907
0.401 0.392 0.593
0.099 0.192 0.491
0.201 0.692 0.093
0.192 0.093 0.701
0.608 0.009 0.201
0.892 0.593 0.901
0.509 0.308 0.901
0.593 0.892 0.401
0.907 0.808 0.799
0.907 0.099 0.608
0.892 0.299 0.491
0.192 0.099 0.991
0.608 0.599 0.907
0.401 0.009 0.308
0.299 0.407 0.808
0.201 0.509 0.608
0.901 0.093 0.892
0.692 0.201 0.593
0.491 0.799 0.892
0.009 0.401 0.808
0.407 0.299 0.308
0.009 0.608 0.701
0.692 0.491 0.599
0.299 0.892 0.991

=====

La2NiSn4 (PBE-GGA, optimized geometry); space group = No. 38; M_tot = 0.0 μB per formula unit; DFT total energy = -36.35 eV per cell; crystal system = orthorhombic; energy above the lowest structure with this stoichiometry = 0 meV per atom
1.0
9.151 0.032 0.000
-8.019 4.410 0.000
0.000 0.000 4.563
La Ni Sn
2 1 4
direct
0.107 0.893 0.500
0.898 0.102 0.000
0.313 0.687 0.500
0.456 0.544 0.500
0.563 0.437 0.000
0.745 0.255 0.500
0.246 0.754 0.000

=====

TbPm2Hg (PBE-GGA, optimized geometry); space group = No. 123; M_tot = 0.0 μB per formula unit; DFT total energy = -15.02 eV per cell; crystal system = tetragonal; energy above the lowest structure with this stoichiometry = 82 meV per atom
1.0
3.769 0.000 0.000
0.000 5.607 0.000
0.000 0.000 5.607
Tb Hg Pm
1 1 2
direct
0.500 0.000 0.000
0.500 0.500 0.500
0.000 0.000 0.500
0.000 0.500 0.000

=====

K3Cu2Cl9 (PBE-GGA, optimized geometry); space group = No. 164; formation energy from raw total energies = -1.02 eV/atom; M_tot = 0.0 μB per formula unit; DFT total energy = -42.34 eV per cell; crystal system = trigonal
1.0
-1.703 0.482 6.591
-4.860 0.034 -4.791
-0.539 -8.541 0.486
K Cu Cl
3 2 9
direct
0.667 0.333 0.649
0.000 0.000 0.000
0.333 0.667 0.351
0.667 0.333 0.168
0.333 0.667 0.832
0.171 0.829 0.683
0.171 0.342 0.683
0.500 0.500 0.000
0.829 0.658 0.317
0.342 0.171 0.317
0.658 0.829 0.683
0.829 0.171 0.317
0.000 0.500 0.000
0.500 0.000 0.000